No. 1
# TaRe2F

TaRe2F after structural relaxation (PBE-GGA, the Alexandria database).

Calculated values
As for the space group: Fm-3m (225).

a b c (Å): 4.4197 4.4197 4.4197
angles (deg): 60.00 60.00 60.00
Last column: nearest neighbours and their distance in Å.
Element x y z (fractional)
1 Re 0.2500 0.2500 0.2500  4 Ta 2.71, 4 F 2.71
2 Re 0.7500 0.7500 0.7500  4 Ta 2.71, 4 F 2.71
3 F 0.0000 0.0000 0.0000  8 Re 2.71
4 Ta 0.5000 0.5000 0.5000  8 Re 2.71

No. 2
# TaRe3F

TaRe3F after structural relaxation (PBE-GGA, the Alexandria database).

Calculated values
As for the space group: Pm-3m (221).

a b c (Å): 4.2144 4.2144 4.2144
angles (deg): 90.00 90.00 90.00
Last column: nearest neighbours and their distance in Å.
Element x y z (fractional)
1 Re 0.0000 0.0000 0.5000  2 F 2.11
2 Re 0.0000 0.5000 0.0000  2 F 2.11
3 Re 0.5000 0.0000 0.0000  2 F 2.11
4 F 0.0000 0.0000 0.0000  6 Re 2.11
5 Ta 0.5000 0.5000 0.5000  12 Re 2.98

No. 3
# TaReF3

TaReF3 after structural relaxation (PBE-GGA, the Alexandria database).

Calculated values
As for the space group: Pm-3m (221).

a b c (Å): 4.2500 4.2500 4.2500
angles (deg): 90.00 90.00 90.00
Last column: nearest neighbours and their distance in Å.
Element x y z (fractional)
1 F 0.5000 0.0000 0.0000  2 Re 2.13
2 F 0.0000 0.5000 0.0000  2 Re 2.13
3 F 0.0000 0.0000 0.5000  2 Re 2.13
4 Ta 0.5000 0.5000 0.5000  12 F 3.01
5 Re 0.0000 0.0000 0.0000  6 F 2.13

no.,density of states at the Fermi level (states/eV/cell),raw total energy (eV per atom)
1,2.96,-9.152
2,7.99,-9.250
3,4.13,-5.653